No. 1
CeTcPH: relaxed, GGA-PBE.

```
8
Lattice="-3.0157 -2.0632 -1.8630 0.5820 -3.1564 2.5535 -4.8501 2.8784 4.6633" Properties=species:S:1:pos:R:3 pbc="T T T"
Tc 0.0000 0.0000 0.0000
Tc -1.2169 -2.6098 0.3453
Ce -1.3018 -0.6329 2.8082
Ce -4.7652 0.9015 2.2004
P -2.3204 -0.5494 -0.1503
P -3.7466 0.8180 5.1588
H -3.6419 -1.1706 2.6769
H -2.4251 1.4392 2.3317
```

Output
E_tot: -7.10 eV per atom
total magnetization: 1.4 Bohr magnetons per cell
symmetry: P4/nmm (129)


No. 2
CePa2H8: relaxed, GGA-PBE.

```
11
Lattice="3.3038 0.0000 -1.0055 -0.9082 5.2544 -2.9842 0.1205 0.0608 6.3265" Properties=species:S:1:pos:R:3 pbc="T T T"
H 1.0993 0.5191 3.6122
H -0.6575 3.8036 -2.1603
H 1.4167 4.7961 -1.2754
H 0.6591 3.0663 2.1655
H 0.4495 0.9166 1.4771
H 2.0665 4.3986 0.8597
H -0.2508 1.4508 -0.8240
H 1.8570 2.2489 0.1713
Pa 0.0051 3.5636 0.0169
Pa 2.5109 1.7516 2.3199
Ce 1.6519 0.0000 -0.5027
```

Output
E_tot: -5.06 eV per atom
total magnetization: 3.7 Bohr magnetons per cell
symmetry: Immm (71)


No. 3
Ce2PaH6: relaxed, GGA-PBE.

```
9
Lattice="3.6023 -0.0013 -1.1664 -0.7977 4.7347 -2.4691 0.1363 0.3720 6.5723" Properties=species:S:1:pos:R:3 pbc="T T T"
H 3.0462 0.6216 3.2654
H 0.3078 2.0313 0.9504
H 1.1903 3.6248 -2.4738
H 1.6142 1.1086 -1.1617
H -0.1054 4.4838 -0.3286
H 2.6330 3.0741 1.9864
Ce 1.0307 1.8346 3.1850
Ce 1.9102 3.2708 -0.2482
Pa 0.0000 0.0000 0.0000
```

Output
E_tot: -5.05 eV per atom
total magnetization: 2.1 Bohr magnetons per cell
symmetry: Immm (71)


No. 4
Ce2PaH: relaxed, GGA-PBE.

```
4
Lattice="3.1330 0.0000 0.0000 0.0000 3.1330 0.0000 0.0000 0.0000 7.9256" Properties=species:S:1:pos:R:3 pbc="T T T"
Ce 0.0000 0.0000 1.4507
Ce 0.0000 0.0000 6.4749
H 1.5665 1.5665 0.0000
Pa 1.5665 1.5665 3.9628
```

Output
energy above the most stable polymorph in this dataset: 0.07 eV per formula unit
total magnetization: 0.0 Bohr magnetons per cell
symmetry: P4/mmm (123)


No. 5
Ce2PaH: relaxed, GGA-PBE.

```
4
Lattice="3.1287 0.0000 0.0000 1.5643 2.7095 0.0000 1.5643 0.9032 9.2446" Properties=species:S:1:pos:R:3 pbc="T T T"
Ce 4.6930 2.7095 2.9938
Ce 1.5643 0.9032 6.2508
Pa 0.0000 0.0000 0.0000
H 3.1287 1.8063 4.6223
```

Output
energy above the most stable polymorph in this dataset: 0.00 eV per formula unit
total magnetization: 0.0 Bohr magnetons per cell
symmetry: R-3m (166)


No. 6
Ce3PaH: relaxed, GGA-PBE.

```
5
Lattice="4.7919 0.0000 0.0000 0.0000 4.7919 0.0000 0.0000 0.0000 4.7919" Properties=species:S:1:pos:R:3 pbc="T T T"
Ce 0.0000 0.0000 2.3959
Ce 0.0000 2.3959 0.0000
Ce 2.3959 0.0000 0.0000
H 0.0000 0.0000 0.0000
Pa 2.3959 2.3959 2.3959
```

Output
E_tot: -6.20 eV per atom
total magnetization: 0.0 Bohr magnetons per cell
symmetry: Pm-3m (221)


No. 7
CePaH2: relaxed, GGA-PBE.

```
4
Lattice="3.4602 0.0000 0.0000 1.7301 2.9966 0.0000 1.7301 0.9989 5.8326" Properties=species:S:1:pos:R:3 pbc="T T T"
H 1.7301 0.9989 1.5116
H 5.1903 2.9966 4.3210
Ce 0.0000 0.0000 0.0000
Pa 3.4602 1.9978 2.9163
```

Output
energy above the most stable polymorph in this dataset: 0.00 eV per formula unit
total magnetization: 0.0 Bohr magnetons per cell
symmetry: R-3m (166)


No. 8
CePaH2: relaxed, GGA-PBE.

```
4
Lattice="-2.3630 -0.3437 -1.8086 1.3527 -3.8599 -1.0338 -2.2119 -1.6322 3.2001" Properties=species:S:1:pos:R:3 pbc="T T T"
Pa -1.6111 -2.9179 0.1789
Ce -1.1815 -0.1719 -0.9043
H -1.1059 -0.8161 1.6001
H 0.6763 -1.9300 -0.5169
```

Output
energy above the most stable polymorph in this dataset: 1.39 eV per formula unit
total magnetization: 0.0 Bohr magnetons per cell
symmetry: P4/mmm (123)